LiZnW2: PBEsol geometry, meta-GGA SCAN.

Output
* calculated total energy: -38.3365 eV/atom
* ΔE_f: 484 meV/atom
* size of the total moment: 0.00 μB/f.u.

Lattice parameters (Å, degrees): 2.5951 2.5951 8.7935 90.00 90.00 90.00
Sites, in units of the cell vectors:
Li1 0.0000 0.0000 0.0000
Zn1 0.0000 0.0000 0.5000
W1 0.5000 0.5000 0.2593
W2 0.5000 0.5000 0.7407

Li2ZnW: PBEsol geometry, meta-GGA SCAN.

Output
* calculated total energy: -21.6633 eV/atom
* ΔE_f: 332 meV/atom
* size of the total moment: 0.00 μB/f.u.

Lattice parameters (Å, degrees): 2.5481 4.7448 4.8387 90.00 90.00 90.00
Sites, in units of the cell vectors:
Li1 0.0000 0.0000 0.0000
Li2 0.5000 0.5000 0.0000
Zn1 0.0000 0.5000 0.5000
W1 0.5000 0.0000 0.5000

Li2ZnW: PBEsol geometry, meta-GGA SCAN.

Output
* calculated total energy: -21.7860 eV/atom
* ΔE_f: 210 meV/atom
* size of the total moment: 0.00 μB/f.u.

Lattice parameters (Å, degrees): 9.6811 9.6811 9.6811 15.88 15.88 15.88
Sites, in units of the cell vectors:
Li1 0.2488 0.2488 0.2488
Li2 0.7512 0.7512 0.7512
Zn1 0.5000 0.5000 0.5000
W1 0.0000 0.0000 0.0000

LiZn2W: PBEsol geometry, meta-GGA SCAN.

Output
* calculated total energy: -24.4310 eV/atom
* ΔE_f: 346 meV/atom
* size of the total moment: 0.00 μB/f.u.
* offset from the most stable computed form: 1.15 eV/f.u.

Lattice parameters (Å, degrees): 4.5825 4.5825 5.1818 96.34 96.34 32.34
Sites, in units of the cell vectors:
Li1 0.0000 0.0000 0.0000
Zn1 0.2493 0.2493 0.7502
Zn2 0.7507 0.7507 0.2498
W1 0.5000 0.5000 0.5000

LiZn2W: PBEsol geometry, meta-GGA SCAN.

Output
* calculated total energy: -24.3490 eV/atom
* ΔE_f: 428 meV/atom
* size of the total moment: 0.98 μB/f.u.
* offset from the most stable computed form: 1.47 eV/f.u.

Lattice parameters (Å, degrees): 4.4940 4.4940 4.4940 127.49 127.49 77.46
Sites, in units of the cell vectors:
Li1 0.0000 0.0000 0.0000
Zn1 0.2500 0.7500 0.5000
Zn2 0.7500 0.2500 0.5000
W1 0.5000 0.5000 0.0000

LiZn2W: PBEsol geometry, meta-GGA SCAN.

Output
* calculated total energy: -24.5975 eV/atom
* ΔE_f: 180 meV/atom
* size of the total moment: 0.00 μB/f.u.
* offset from the most stable computed form: 0.48 eV/f.u.

Lattice parameters (Å, degrees): 2.6087 2.6087 8.7368 90.00 90.00 103.39
Sites, in units of the cell vectors:
Li1 0.0000 0.0000 0.0000
Zn1 0.0000 0.0000 0.5122
Zn2 0.5000 0.5000 0.7565
W1 0.5000 0.5000 0.2642

LiZn2W: PBEsol geometry, meta-GGA SCAN.

Output
* calculated total energy: -24.7176 eV/atom
* ΔE_f: 59 meV/atom
* size of the total moment: 0.00 μB/f.u.
* offset from the most stable computed form: 0.00 eV/f.u.

Lattice parameters (Å, degrees): 2.7439 2.7439 7.2222 90.00 90.00 90.00
Sites, in units of the cell vectors:
Li1 0.0000 0.0000 0.0000
Zn1 0.5000 0.5000 0.2300
Zn2 0.5000 0.5000 0.7700
W1 0.0000 0.0000 0.5000

LiZn2W: PBEsol geometry, meta-GGA SCAN.

Output
* calculated total energy: -24.2833 eV/atom
* ΔE_f: 494 meV/atom
* size of the total moment: 0.00 μB/f.u.
* offset from the most stable computed form: 1.74 eV/f.u.

Lattice parameters (Å, degrees): 4.8148 4.8148 4.8148 134.67 134.67 66.05
Sites, in units of the cell vectors:
Li1 0.0000 0.0000 0.0000
Zn1 0.2500 0.7500 0.5000
Zn2 0.5000 0.5000 0.0000
W1 0.7500 0.2500 0.5000

Q: Which of these has the highest calculated total energy?
A: number 2

Q: size of the total moment of number 3 (Li2ZnW)?
A: 0.00 μB/f.u.

Q: calculated total energy of number 8 (LiZn2W)?
A: -24.2833 eV/atom

Q: Which of these has the highest size of the total moment?
A: number 5